Tm5HgPb2: optimized geometry, PBE-GGA.

a b c (Å): 5.4342 11.2757 15.3601
angles (deg): 90.00 90.00 90.00
Space group Cmcm (No. 63)
Unique sites:
Tm: 0.0000 0.0729 0.0934 [8 per cell]
Tm: 0.0000 0.3843 0.0594 [8 per cell]
Tm: 0.0000 0.4165 0.7500 [4 per cell]
Hg: 0.0000 0.2727 0.2500 [4 per cell]
Pb: 0.0000 0.2200 0.6088 [8 per cell]

The magnetization is 0.0 μB per formula unit. The theoretical density comes out at 10.30 g/cm3. The value obtained for the formation energy is -105 kJ/mol of formula units. The value obtained for the calculated total energy is -3.89 eV/atom.